DFT (GGA-PBE) results for a geometry-optimized CeY2Ge3Pt4 structure.

Calculated density, g/cm3: 10.59
M_tot, μB per atom: 0.02
V, Å³ per atom: 20.65
N(E_F), states/eV per cell: 11.1

Lattice parameters (Å, degrees): 4.2911 4.2911 11.2123 90.00 90.00 90.00
Site moments in Bohr magnetons follow the coordinates.
Element x y z (fractional)
Ce: 0.5000 0.5000 0.5000  0.16
Y: 0.5000 0.0000 0.2142  0.01
Y: 0.0000 0.5000 0.7858  0.01
Ge: 0.0000 0.0000 0.5000  0.00
Ge: 0.5000 0.0000 0.8760  0.00
Ge: 0.0000 0.5000 0.1240  0.00
Pt: 0.5000 0.5000 0.0000  0.01
Pt: 0.0000 0.0000 0.0000  0.01
Pt: 0.5000 0.0000 0.6590  0.00
Pt: 0.0000 0.5000 0.3410  0.00

---

DFT (GGA-PBE) results for a geometry-optimized CeYGe4Pt4 structure.

Calculated density, g/cm3: 11.30
M_tot, μB per atom: 0.08
V, Å³ per atom: 19.09
N(E_F), states/eV per cell: 10.0

Lattice parameters (Å, degrees): 4.3548 4.3558 10.0666 89.86 90.00 90.00
Site moments in Bohr magnetons follow the coordinates.
Element x y z (fractional)
Ce: 0.5000 0.7539 0.2518  0.65
Y: 0.0000 0.2526 0.7543  0.00
Ge: 0.0000 0.7528 0.5007  0.00
Ge: 0.5000 0.2526 0.5008  0.00
Ge: 0.5000 0.7495 0.8673  0.01
Ge: 0.0000 0.2579 0.1290  0.00
Pt: 0.5000 0.7520 0.6257  0.00
Pt: 0.0000 0.2534 0.3730  -0.01
Pt: 0.0000 0.7588 0.9986  0.01
Pt: 0.5000 0.2484 0.9986  0.01

---

DFT (GGA-PBE) results for a geometry-optimized CeZnGePt3 structure.

Calculated density, g/cm3: 12.27
M_tot, μB per atom: 0.12
V, Å³ per atom: 19.48
N(E_F), states/eV per cell: 15.1

Lattice parameters (Å, degrees): 5.6686 6.8721 6.9154 119.79 90.00 90.00
Site moments in Bohr magnetons follow the coordinates.
Element x y z (fractional)
Ce: 0.7500 0.2932 0.5865  0.67
Ce: 0.2500 0.7068 0.4135  0.67
Zn: 0.2500 0.9549 0.9098  0.00
Zn: 0.7500 0.0451 0.0902  0.00
Ge: 0.2500 0.3732 0.7465  0.00
Ge: 0.7500 0.6268 0.2535  0.00
Pt: 0.2500 0.1727 0.3455  -0.02
Pt: 0.0000 0.2920 0.0000  0.00
Pt: 0.5000 0.7080 0.0000  0.00
Pt: 0.5000 0.2920 0.0000  0.00
Pt: 0.0000 0.7080 0.0000  0.00
Pt: 0.7500 0.8273 0.6545  -0.02

---

DFT (GGA-PBE) results for a geometry-optimized Ce3ZnGe6Pt2 structure.

Calculated density, g/cm3: 8.75
M_tot, μB per atom: 0.17
V, Å³ per atom: 20.75
N(E_F), states/eV per cell: 13.3

Lattice parameters (Å, degrees): 5.9293 5.9293 8.1778 90.00 90.00 120.00
Site moments in Bohr magnetons follow the coordinates.
Element x y z (fractional)
Ce: 0.3333 0.6667 0.6375  0.55
Ce: 0.6667 0.3333 0.3625  0.55
Ce: 0.0000 0.0000 0.0000  0.49
Zn: 0.0000 0.0000 0.5000  0.00
Ge: 0.6261 0.8130 0.2823  0.02
Ge: 0.1870 0.3739 0.2823  0.02
Ge: 0.1870 0.8130 0.2823  0.02
Ge: 0.8130 0.6261 0.7177  0.02
Ge: 0.3739 0.1870 0.7177  0.02
Ge: 0.8130 0.1870 0.7177  0.02
Pt: 0.6667 0.3333 0.9837  0.01
Pt: 0.3333 0.6667 0.0163  0.01

---

DFT (GGA-PBE) results for a geometry-optimized CeZnGe2Pt2 structure.

Calculated density, g/cm3: 11.12
M_tot, μB per atom: 0.08
V, Å³ per atom: 18.44
N(E_F), states/eV per cell: 6.1

Lattice parameters (Å, degrees): 4.3119 4.3119 6.8714 90.00 90.00 120.00
Site moments in Bohr magnetons follow the coordinates.
Element x y z (fractional)
Ce: 0.0000 0.0000 0.0000  0.41
Zn: 0.0000 0.0000 0.5000  0.00
Ge: 0.6667 0.3333 0.2620  0.00
Ge: 0.3333 0.6667 0.7380  0.00
Pt: 0.6667 0.3333 0.6711  0.00
Pt: 0.3333 0.6667 0.3289  0.00

---

DFT (GGA-PBE) results for a geometry-optimized Ce2ZnGe4Pt3 structure.

Calculated density, g/cm3: 10.57
M_tot, μB per atom: 0.09
V, Å³ per atom: 19.20
N(E_F), states/eV per cell: 11.2

Lattice parameters (Å, degrees): 4.3038 4.3038 10.3628 90.00 90.00 90.00
Site moments in Bohr magnetons follow the coordinates.
Element x y z (fractional)
Ce: 0.5000 0.0000 0.2497  0.48
Ce: 0.0000 0.5000 0.7503  0.48
Zn: 0.5000 0.5000 0.5000  -0.01
Ge: 0.5000 0.5000 0.0000  -0.01
Ge: 0.0000 0.0000 0.0000  -0.01
Ge: 0.5000 0.0000 0.6360  -0.01
Ge: 0.0000 0.5000 0.3640  -0.01
Pt: 0.0000 0.0000 0.5000  -0.03
Pt: 0.5000 0.0000 0.8732  -0.02
Pt: 0.0000 0.5000 0.1268  -0.02

---

DFT (GGA-PBE) results for a geometry-optimized CeZrGe2Pt2 structure.

Calculated density, g/cm3: 10.78
M_tot, μB per atom: 0.16
V, Å³ per atom: 19.69
N(E_F), states/eV per cell: 5.6

Lattice parameters (Å, degrees): 4.3976 4.3976 7.0540 90.00 90.00 120.00
Site moments in Bohr magnetons follow the coordinates.
Element x y z (fractional)
Ce: 0.0000 0.0000 0.0000  0.62
Zr: 0.0000 0.0000 0.5000  0.17
Ge: 0.6667 0.3333 0.2694  -0.01
Ge: 0.3333 0.6667 0.7306  -0.01
Pt: 0.6667 0.3333 0.6977  0.01
Pt: 0.3333 0.6667 0.3023  0.01

---

DFT (GGA-PBE) results for a geometry-optimized Ce2ZrGe3Pt4 structure.

Calculated density, g/cm3: 11.41
M_tot, μB per atom: 0.11
V, Å³ per atom: 19.93
N(E_F), states/eV per cell: 15.4

Lattice parameters (Å, degrees): 4.2465 4.2465 11.0510 90.00 90.00 90.00
Site moments in Bohr magnetons follow the coordinates.
Element x y z (fractional)
Ce: 0.5000 0.0000 0.2318  0.47
Ce: 0.0000 0.5000 0.7682  0.47
Zr: 0.5000 0.5000 0.5000  0.02
Ge: 0.0000 0.0000 0.5000  -0.01
Ge: 0.5000 0.0000 0.8703  0.00
Ge: 0.0000 0.5000 0.1297  0.00
Pt: 0.5000 0.5000 0.0000  0.02
Pt: 0.0000 0.0000 0.0000  0.02
Pt: 0.5000 0.0000 0.6477  -0.01
Pt: 0.0000 0.5000 0.3523  -0.01

---

| no. | ΔH_f (0 K) (meV per atom) |
| --- | --- |
| 1 | -888 |
| 2 | -892 |
| 3 | -611 |
| 4 | -403 |
| 5 | -711 |
| 6 | -825 |
| 7 | -979 |
| 8 | -921 |